Density functional theory data (GGA+U) for a relaxed structure of NiAgAuF6.

Cell lengths 5.5942, 5.5942, 9.7491 Å; angles 90.00, 90.00, 120.00 degrees
With the nearest neighbours (Å) after each atom.
Space group P-31c (No. 163)
Inequivalent atoms, fractional coordinates:
Ni 0.3333 0.6667 0.2500 (multiplicity 2)  6 F 2.04
Ag 0.0000 0.0000 0.0000 (multiplicity 2)  6 F 2.39
Au 0.3333 0.6667 0.7500 (multiplicity 2)  6 F 2.19
F 0.0202 0.3638 0.1380 (multiplicity 12)  1 Ni 2.04, 1 Au 2.19

Computed properties:
**DOS at the Fermi energy**: 3.05 states/eV per cell
**Total energy**: -3.550 eV/atom